Here is a relaxed SmTlCuSe3 crystal from Alexandria. Energies are from GGA-PBEsol.

Values from the calculation:
**N(E_F)**: 0.62 states/eV per atom
**Density**: 7.31 g cm⁻³
**Calculated volume**: 24.819 Å³/atom
**Energy**: -4.829 eV per atom
**Crystal system**: orthorhombic

```
data_SmTlCuSe3
_cell_length_a 3.9511
_cell_length_b 13.9945
_cell_length_c 10.7724
_cell_angle_alpha 90.00
_cell_angle_beta 90.00
_cell_angle_gamma 90.00
_space_group_name_H-M_alt 'C m c m'
_space_group_IT_number 63
_space_group_name_Hall '-C 2c 2'
loop_
_atom_site_label
_atom_site_fract_x
_atom_site_fract_y
_atom_site_fract_z
_atom_site_occupancy
Sm1 0.0000 0.0000 0.0000 1
Tl1 0.0000 0.2494 0.2500 1
Cu1 0.0000 0.4690 0.7500 1
Se1 0.0000 0.0722 0.7500 1
Se2 0.0000 0.3623 0.5729 1
```


Here is a relaxed Cu5Sn2Se7 crystal from Alexandria. Energies are from GGA-PBEsol.

Values from the calculation:
**N(E_F)**: 0.36 states/eV per atom
**Density**: 5.92 g cm⁻³
**Calculated volume**: 22.213 Å³/atom
**Energy**: -4.341 eV per atom
**Crystal system**: monoclinic

```
data_Cu5Sn2Se7
_cell_length_a 12.5862
_cell_length_b 5.6135
_cell_length_c 8.8909
_cell_angle_alpha 90.00
_cell_angle_beta 98.06
_cell_angle_gamma 90.00
_space_group_name_H-M_alt 'C 1 2 1'
_space_group_IT_number 5
_space_group_name_Hall 'C 2y'
loop_
_atom_site_label
_atom_site_fract_x
_atom_site_fract_y
_atom_site_fract_z
_atom_site_occupancy
Cu1 0.0000 0.0000 0.0000 1
Cu2 0.1456 0.0081 0.4258 1
Cu3 0.2138 0.5031 0.1419 1
Sn1 0.0745 0.4906 0.7246 1
Se1 0.0000 0.7843 0.5000 1
Se2 0.0823 0.2343 0.2072 1
Se3 0.1484 0.7715 0.9443 1
Se4 0.2247 0.2330 0.6381 1
```


Here is a relaxed CuSn3Se crystal from Alexandria. Energies are from GGA-PBEsol.

Values from the calculation:
**N(E_F)**: 0.60 states/eV per atom
**Density**: 5.19 g cm⁻³
**Calculated volume**: 31.920 Å³/atom
**Energy**: -3.377 eV per atom
**Crystal system**: cubic

```
data_CuSn3Se
_cell_length_a 5.4243
_cell_length_b 5.4243
_cell_length_c 5.4243
_cell_angle_alpha 90.00
_cell_angle_beta 90.00
_cell_angle_gamma 90.00
_space_group_name_H-M_alt 'P m -3 m'
_space_group_IT_number 221
_space_group_name_Hall '-P 4 2 3'
loop_
_atom_site_label
_atom_site_fract_x
_atom_site_fract_y
_atom_site_fract_z
_atom_site_occupancy
Cu1 0.0000 0.0000 0.0000 1
Sn1 0.0000 0.5000 0.5000 1
Se1 0.5000 0.5000 0.5000 1
```


Here is a relaxed CuSnSe2 crystal from Alexandria. Energies are from GGA-PBEsol.

Values from the calculation:
**N(E_F)**: 0.51 states/eV per atom
**Density**: 5.06 g cm⁻³
**Calculated volume**: 27.921 Å³/atom
**Energy**: -4.149 eV per atom
**Crystal system**: trigonal

```
data_CuSnSe2
_cell_length_a 4.1767
_cell_length_b 4.1767
_cell_length_c 22.1774
_cell_angle_alpha 90.00
_cell_angle_beta 90.00
_cell_angle_gamma 120.00
_space_group_name_H-M_alt 'R -3 m'
_space_group_IT_number 166
_space_group_name_Hall '-R 3 2"'
loop_
_atom_site_label
_atom_site_fract_x
_atom_site_fract_y
_atom_site_fract_z
_atom_site_occupancy
Cu1 0.0000 0.0000 0.0000 1
Sn1 0.0000 0.0000 0.5000 1
Se1 0.0000 0.0000 0.0999 1
```


Here is a relaxed Tb3CuSnSe7 crystal from Alexandria. Energies are from GGA-PBEsol.

Values from the calculation:
**Density**: 7.22 g cm⁻³
**Calculated volume**: 23.224 Å³/atom
**Energy**: -5.504 eV per atom
**Crystal system**: hexagonal

```
data_Tb3CuSnSe7
_cell_length_a 10.1955
_cell_length_b 10.1955
_cell_length_c 6.1917
_cell_angle_alpha 90.00
_cell_angle_beta 90.00
_cell_angle_gamma 120.00
_space_group_name_H-M_alt 'P 63'
_space_group_IT_number 173
_space_group_name_Hall 'P 6c'
loop_
_atom_site_label
_atom_site_fract_x
_atom_site_fract_y
_atom_site_fract_z
_atom_site_occupancy
Tb1 0.1424 0.7864 0.0000 1
Cu1 0.0000 0.0000 0.0658 1
Sn1 0.3333 0.6667 0.4257 1
Se1 0.0768 0.5123 0.2433 1
Se2 0.1092 0.8455 0.5449 1
Se3 0.3333 0.6667 0.8295 1
```


Here is a relaxed CuSn2TeSe crystal from Alexandria. Energies are from GGA-PBEsol.

Values from the calculation:
**N(E_F)**: 0.41 states/eV per atom
**Density**: 5.34 g cm⁻³
**Calculated volume**: 31.550 Å³/atom
**Energy**: -3.472 eV per atom
**Crystal system**: tetragonal

```
data_CuSn2TeSe
_cell_length_a 5.8677
_cell_length_b 5.8677
_cell_length_c 4.5818
_cell_angle_alpha 90.00
_cell_angle_beta 90.00
_cell_angle_gamma 90.00
_space_group_name_H-M_alt 'P 4/m m m'
_space_group_IT_number 123
_space_group_name_Hall '-P 4 2'
loop_
_atom_site_label
_atom_site_fract_x
_atom_site_fract_y
_atom_site_fract_z
_atom_site_occupancy
Cu1 0.0000 0.0000 0.0000 1
Sn1 0.0000 0.5000 0.5000 1
Te1 0.0000 0.0000 0.5000 1
Se1 0.5000 0.5000 0.0000 1
```


What did the second record say?
Here is a relaxed Cu5Sn2Se7 crystal from Alexandria. Energies are from GGA-PBEsol.

Values from the calculation:
**N(E_F)**: 0.36 states/eV per atom
**Density**: 5.92 g cm⁻³
**Calculated volume**: 22.213 Å³/atom
**Energy**: -4.341 eV per atom
**Crystal system**: monoclinic

```
data_Cu5Sn2Se7
_cell_length_a 12.5862
_cell_length_b 5.6135
_cell_length_c 8.8909
_cell_angle_alpha 90.00
_cell_angle_beta 98.06
_cell_angle_gamma 90.00
_space_group_name_H-M_alt 'C 1 2 1'
_space_group_IT_number 5
_space_group_name_Hall 'C 2y'
loop_
_atom_site_label
_atom_site_fract_x
_atom_site_fract_y
_atom_site_fract_z
_atom_site_occupancy
Cu1 0.0000 0.0000 0.0000 1
Cu2 0.1456 0.0081 0.4258 1
Cu3 0.2138 0.5031 0.1419 1
Sn1 0.0745 0.4906 0.7246 1
Se1 0.0000 0.7843 0.5000 1
Se2 0.0823 0.2343 0.2072 1
Se3 0.1484 0.7715 0.9443 1
Se4 0.2247 0.2330 0.6381 1
```